[1]
First-principles (GGA-PBE) data for Al3FeSi2 after structural relaxation, as listed in the Alexandria database.

Summary:
- Distance to the lowest polymorph of the same formula: 26 meV/atom
- DFT total energy: -127.76 eV/cell
- Formation energy (no corrections): -0.23 eV per atom

Cell lengths 6.056, 6.056, 9.545 Å; angles 90.00, 90.00, 90.00 degrees
Space group I4cm (No. 108)
Asymmetric unit:
Al 0.000 0.000 0.000 (multiplicity 4)
Al 0.161 0.339 0.147 (multiplicity 8)
Fe 0.000 0.000 0.256 (multiplicity 4)
Si 0.147 0.353 0.856 (multiplicity 8)


[2]
First-principles (GGA-PBE) data for Al2FeSi after structural relaxation, as listed in the Alexandria database.

Summary:
- DFT total energy: -63.53 eV/cell
- Formation energy (no corrections): 0.05 eV per atom

Cell lengths 2.8486, 2.8486, 23.9894 Å; angles 90.00, 90.00, 120.00 degrees
Space group R-3m (No. 166, hexagonal axes)
Asymmetric unit:
Al 0.0000 0.0000 0.2449 (multiplicity 6)
Fe 0.0000 0.0000 0.5000 (multiplicity 3)
Si 0.0000 0.0000 0.0000 (multiplicity 3)


[3]
First-principles (GGA-PBE) data for Al2FeSi after structural relaxation, as listed in the Alexandria database.

Summary:
- DFT total energy: -85.76 eV/cell
- Formation energy (no corrections): -0.02 eV per atom

Cell lengths 8.856, 8.856, 4.263 Å; angles 90.00, 90.00, 90.00 degrees
Space group I4_1/amd (No. 141, origin choice 2)
Asymmetric unit:
Al 0.000 0.000 0.000 (multiplicity 8)
Fe 0.000 0.250 0.875 (multiplicity 4)
Si 0.000 0.250 0.375 (multiplicity 4)


[4]
First-principles (GGA-PBE) data for AlFe3Si after structural relaxation, as listed in the Alexandria database.

Summary:
- Distance to the lowest polymorph of the same formula: 645 meV/atom
- DFT total energy: -29.02 eV/cell
- Formation energy (no corrections): 1.11 eV per atom

Cell lengths 4.281, 4.281, 4.281 Å; angles 90.00, 90.00, 90.00 degrees
Space group Pm-3m (No. 221)
Asymmetric unit:
Al 0.000 0.000 0.000 (multiplicity 1)
Fe 0.000 0.000 0.500 (multiplicity 3)
Si 0.500 0.500 0.500 (multiplicity 1)


[5]
First-principles (GGA-PBE) data for Al2FeSi after structural relaxation, as listed in the Alexandria database.

Summary:
- DFT total energy: -84.10 eV/cell
- Formation energy (no corrections): 0.09 eV per atom

Cell lengths 5.895, 5.895, 5.895 Å; angles 90.00, 90.00, 90.00 degrees
Space group F-43m (No. 216)
Asymmetric unit:
Al 0.000 0.000 0.000 (multiplicity 4)
Al 0.250 0.250 0.250 (multiplicity 4)
Fe 0.000 0.000 0.500 (multiplicity 4)
Si 0.250 0.250 0.750 (multiplicity 4)


[6]
First-principles (GGA-PBE) data for AlFe14Si after structural relaxation, as listed in the Alexandria database.

Summary:
- DFT total energy: -129.50 eV/cell
- Formation energy (no corrections): -0.12 eV per atom

Cell lengths 5.661, 5.661, 5.758 Å; angles 90.00, 90.00, 90.00 degrees
Space group P4/mmm (No. 123)
Asymmetric unit:
Al 0.000 0.000 0.000 (multiplicity 1)
Fe 0.000 0.000 0.500 (multiplicity 1)
Fe 0.000 0.500 0.000 (multiplicity 2)
Fe 0.000 0.500 0.500 (multiplicity 2)
Fe 0.253 0.253 0.254 (multiplicity 8)
Fe 0.500 0.500 0.500 (multiplicity 1)
Si 0.500 0.500 0.000 (multiplicity 1)


[7]
First-principles (GGA-PBE) data for AlFe4Si after structural relaxation, as listed in the Alexandria database.

Summary:
- Distance to the lowest polymorph of the same formula: 66 meV/atom
- DFT total energy: -171.95 eV/cell
- Formation energy (no corrections): 0.00 eV per atom

Cell lengths 6.675, 6.675, 6.675 Å; angles 90.00, 90.00, 90.00 degrees
Space group F-43m (No. 216)
Asymmetric unit:
Al 0.000 0.000 0.000 (multiplicity 4)
Fe 0.125 0.125 0.625 (multiplicity 16)
Si 0.250 0.250 0.250 (multiplicity 4)


[8]
First-principles (GGA-PBE) data for Al2FeSi after structural relaxation, as listed in the Alexandria database.

Summary:
- DFT total energy: -43.01 eV/cell
- Formation energy (no corrections): -0.03 eV per atom

Cell lengths 8.681, 2.834, 4.339 Å; angles 90.00, 98.67, 90.00 degrees
Space group C2/m (No. 12)
Asymmetric unit:
Al 0.240 0.000 0.238 (multiplicity 4)
Fe 0.000 0.500 0.000 (multiplicity 2)
Si 0.000 0.000 0.500 (multiplicity 2)